Record 1
Below is a relaxed structure of CsKHg2BiP, with properties calculated at the PBE level.

Calculated values
VASP energy, eV/atom: -2.239
Mass density, Mg/m³: 6.1

a = 4.806 Å, b = 4.806 Å, c = 11.012 Å
α = 90.00°, β = 90.00°, γ = 120.00°
Atoms (fractional coordinates):
Bi1 0.333 0.667 0.750
Cs1 0.000 0.000 0.475
Hg1 0.333 0.667 0.226
Hg2 0.667 0.333 0.800
K1 0.000 0.000 0.018
P1 0.667 0.333 0.231

=====

Record 2
Below is a relaxed structure of NbCdPt2, with properties calculated at the PBE level.

Calculated values
VASP energy, eV/atom: -5.949
Magnetic moment, μB/atom: 0.001
Mass density, Mg/m³: 14.5

a = 4.587 Å, b = 4.587 Å, c = 4.587 Å
α = 60.00°, β = 60.00°, γ = 60.00°
Atoms (fractional coordinates):
Cd1 0.750 0.750 0.750
Nb1 0.000 0.000 0.000
Pt1 0.250 0.250 0.250
Pt2 0.500 0.500 0.500

=====

Record 3
Below is a relaxed structure of SnPd3Au3, with properties calculated at the PBE level.

Calculated values
Energy above the most stable polymorph in this dataset, meV per atom: 99.1
Mass density, Mg/m³: 13.1

a = 5.761 Å, b = 5.761 Å, c = 5.761 Å
α = 58.59°, β = 58.59°, γ = 58.59°
Atoms (fractional coordinates):
Au1 0.500 0.000 0.000
Au2 0.000 0.500 0.000
Au3 0.000 0.000 0.500
Pd1 0.500 0.500 0.000
Pd2 0.500 0.000 0.500
Pd3 0.000 0.500 0.500
Sn1 0.000 0.000 0.000

=====

Record 4
Below is a relaxed structure of TaHgO3, with properties calculated at the PBE level.

Calculated values
VASP energy, eV/atom: -7.309
Magnetic moment, μB/atom: 0.000
Mass density, Mg/m³: 9.7

a = 5.427 Å, b = 5.427 Å, c = 6.579 Å
α = 65.64°, β = 65.64°, γ = 60.00°
Atoms (fractional coordinates):
Hg1 0.859 0.859 0.423
Hg2 0.141 0.141 0.577
O1 0.942 0.539 0.192
O2 0.327 0.942 0.192
O3 0.539 0.327 0.192
O4 0.461 0.673 0.808
O5 0.673 0.058 0.808
O6 0.058 0.461 0.808
Ta1 0.656 0.656 0.033
Ta2 0.344 0.344 0.967

=====

Record 5
Below is a relaxed structure of Ta2W, with properties calculated at the PBE level.

Calculated values
Energy above the most stable polymorph in this dataset, meV per atom: 246.2
Magnetic moment, μB/atom: 0.000
Mass density, Mg/m³: 16.6

a = 5.411 Å, b = 5.411 Å, c = 17.197 Å
α = 90.00°, β = 90.00°, γ = 120.00°
Atoms (fractional coordinates):
Ta1 0.500 0.000 0.000
Ta2 0.000 0.500 0.000
Ta3 0.500 0.500 0.000
Ta4 0.000 0.000 0.094
Ta5 0.164 0.328 0.250
Ta6 0.164 0.836 0.250
Ta7 0.672 0.836 0.250
Ta8 0.000 0.000 0.406
Ta9 0.500 0.000 0.500
Ta10 0.000 0.500 0.500
Ta11 0.500 0.500 0.500
Ta12 0.000 0.000 0.594
Ta13 0.328 0.164 0.750
Ta14 0.836 0.164 0.750
Ta15 0.836 0.672 0.750
Ta16 0.000 0.000 0.906
W1 0.333 0.667 0.124
W2 0.667 0.333 0.154
W3 0.667 0.333 0.346
W4 0.333 0.667 0.376
W5 0.667 0.333 0.624
W6 0.333 0.667 0.654
W7 0.333 0.667 0.846
W8 0.667 0.333 0.876

=====

Record 6
Below is a relaxed structure of Er3Lu3Bi2Os, with properties calculated at the PBE level.

Calculated values
Energy above the most stable polymorph in this dataset, meV per atom: 55.7
Magnetic moment, μB/atom: 0.002
Mass density, Mg/m³: 11.1

a = 8.188 Å, b = 8.188 Å, c = 4.197 Å
α = 90.00°, β = 90.00°, γ = 120.00°
Atoms (fractional coordinates):
Bi1 0.667 0.333 0.500
Bi2 0.333 0.667 0.500
Er1 0.236 0.000 0.500
Er2 0.000 0.236 0.500
Er3 0.764 0.764 0.500
Lu1 0.620 0.000 0.000
Lu2 0.380 0.380 0.000
Lu3 0.000 0.620 0.000
Os1 0.000 0.000 0.000

=====

Record 7
Below is a relaxed structure of Rb2ReP2, with properties calculated at the PBE level.

Calculated values
VASP energy, eV/atom: -5.097
Magnetic moment, μB/atom: 0.035
Mass density, Mg/m³: 4.9

a = 8.752 Å, b = 8.752 Å, c = 5.234 Å
α = 90.00°, β = 90.00°, γ = 134.95°
Each line ends with the local moment (μB).
Atoms (fractional coordinates):
P1 0.276 0.056 0.250  0.01
P2 0.944 0.724 0.250  0.01
P3 0.056 0.276 0.750  0.01
P4 0.724 0.944 0.750  0.01
Rb1 0.782 0.218 0.250  0.00
Rb2 0.425 0.575 0.250  0.00
Rb3 0.575 0.425 0.750  0.00
Rb4 0.218 0.782 0.750  0.00
Re1 0.000 0.000 0.000  0.12
Re2 0.000 0.000 0.500  0.12

=====

Record 8
Below is a relaxed structure of NdSnPdPt, with properties calculated at the PBE level.

Calculated values
Energy above the most stable polymorph in this dataset, meV per atom: 7.3
Magnetic moment, μB/atom: 0.001
Mass density, Mg/m³: 10.9

a = 4.632 Å, b = 4.632 Å, c = 9.294 Å
α = 90.00°, β = 90.00°, γ = 120.00°
Atoms (fractional coordinates):
Nd1 0.333 0.667 0.000
Nd2 0.667 0.333 0.500
Pd1 0.667 0.333 0.164
Pd2 0.667 0.333 0.836
Pt1 0.333 0.667 0.332
Pt2 0.333 0.667 0.668
Sn1 0.000 0.000 0.252
Sn2 0.000 0.000 0.748

=====

Record 9
Below is a relaxed structure of HfFeRePb, with properties calculated at the PBE level.

Calculated values
Energy above the most stable polymorph in this dataset, meV per atom: 231.7
Magnetic moment, μB/atom: 0.928
Mass density, Mg/m³: 14.9

a = 4.625 Å, b = 4.625 Å, c = 4.625 Å
α = 60.00°, β = 60.00°, γ = 60.00°
Atoms (fractional coordinates):
Fe1 0.750 0.750 0.750
Hf1 0.250 0.250 0.250
Pb1 0.000 0.000 0.000
Re1 0.500 0.500 0.500

=====

Record 10
Below is a relaxed structure of Gd3Mg3Cd2Ga, with properties calculated at the PBE level.

Calculated values
VASP energy, eV/atom: -2.912
Magnetic moment, μB/atom: 0.020
Mass density, Mg/m³: 6.2

a = 7.505 Å, b = 7.505 Å, c = 4.601 Å
α = 90.00°, β = 90.00°, γ = 120.00°
Atoms (fractional coordinates):
Cd1 0.667 0.333 0.500
Cd2 0.333 0.667 0.500
Ga1 0.000 0.000 0.000
Gd1 0.412 0.000 0.000
Gd2 0.000 0.412 0.000
Gd3 0.588 0.588 0.000
Mg1 0.762 0.000 0.500
Mg2 0.238 0.238 0.500
Mg3 0.000 0.762 0.500

=====

Record 11
Below is a relaxed structure of PrHfW, with properties calculated at the PBE level.

Calculated values
VASP energy, eV/atom: -8.437
Magnetic moment, μB/atom: 0.003
Mass density, Mg/m³: 10.9

a = 4.767 Å, b = 4.767 Å, c = 4.767 Å
α = 60.00°, β = 60.00°, γ = 60.00°
Atoms (fractional coordinates):
Hf1 0.250 0.250 0.250
Pr1 0.750 0.750 0.750
W1 0.000 0.000 0.000

=====

Record 12
Below is a relaxed structure of ZrCuSbIr, with properties calculated at the PBE level.

Calculated values
Energy above the most stable polymorph in this dataset, meV per atom: 158.4
Magnetic moment, μB/atom: 0.000
Mass density, Mg/m³: 10.9

a = 4.656 Å, b = 4.656 Å, c = 4.656 Å
α = 60.00°, β = 60.00°, γ = 60.00°
Atoms (fractional coordinates):
Cu1 0.750 0.750 0.750
Ir1 0.500 0.500 0.500
Sb1 0.000 0.000 0.000
Zr1 0.250 0.250 0.250